First-principles (PBE) data for a relaxed structure of AlCdNi2, as listed in Alexandria.

Unit cell a=4.842 b=4.842 c=4.842 alpha=135.21 beta=135.21 gamma=65.21
Fractional positions:
Ni 0.000 0.000 0.000
Ni 0.250 0.750 0.500
Cd 0.750 0.250 0.500
Al 0.500 0.500 0.000

Computed properties:
Its formation energy is -0.121 eV per atom. As for the symmetry: I-4m2.

***

First-principles (PBE) data for a relaxed structure of Ac2La8Nd, as listed in Alexandria.

Unit cell a=5.831 b=10.886 c=10.886 alpha=38.85 beta=92.26 gamma=92.26
Fractional positions:
Ac 0.258 0.720 0.720
Ac 0.742 0.280 0.280
La 0.231 0.173 0.173
La 0.769 0.827 0.827
La 0.740 0.399 0.852
La 0.234 0.545 0.545
La 0.766 0.455 0.455
La 0.740 0.852 0.399
La 0.260 0.148 0.601
La 0.260 0.601 0.148
Nd 0.000 0.000 0.000

Computed properties:
Its formation energy is 0.150 eV per atom. As for the symmetry: C2/m.

***

First-principles (PBE) data for a relaxed structure of ErMg16Al12, as listed in Alexandria.

Unit cell a=9.192 b=9.192 c=9.192 alpha=109.95 beta=109.95 gamma=109.95
Fractional positions:
Al 0.627 0.811 0.627
Al 0.365 0.187 0.002
Al 0.187 0.002 0.365
Al 0.187 0.365 0.002
Al 0.173 0.811 0.811
Al 0.627 0.627 0.811
Al 0.811 0.627 0.627
Al 0.811 0.173 0.811
Al 0.811 0.811 0.173
Al 0.002 0.187 0.365
Al 0.002 0.365 0.187
Al 0.365 0.002 0.187
Mg 0.609 0.609 0.278
Mg 0.657 0.997 0.997
Mg 0.688 0.394 0.000
Mg 0.997 0.997 0.657
Mg 0.688 0.000 0.394
Mg 0.394 0.688 0.000
Mg 0.716 0.315 0.315
Mg 0.394 0.000 0.688
Mg 0.000 0.688 0.394
Mg 0.315 0.716 0.315
Mg 0.997 0.657 0.997
Mg 0.315 0.315 0.716
Mg 0.999 0.999 0.999
Mg 0.609 0.278 0.609
Mg 0.278 0.609 0.609
Mg 0.000 0.394 0.688
Er 0.373 0.373 0.373

Computed properties:
Its formation energy is -0.069 eV per atom. As for the symmetry: R3m.

***

First-principles (PBE) data for a relaxed structure of Ho3ScSe6, as listed in Alexandria.

Unit cell a=8.245 b=8.245 c=8.245 alpha=90.92 beta=90.92 gamma=90.92
Fractional positions:
Se 0.414 0.188 0.542
Se 0.918 0.085 0.308
Se 0.188 0.542 0.414
Se 0.458 0.586 0.812
Se 0.692 0.082 0.915
Se 0.915 0.692 0.082
Se 0.085 0.308 0.918
Se 0.082 0.915 0.692
Se 0.586 0.812 0.458
Se 0.308 0.918 0.085
Se 0.812 0.458 0.586
Se 0.542 0.414 0.188
Ho 0.081 0.246 0.573
Ho 0.754 0.427 0.919
Ho 0.246 0.573 0.081
Ho 0.427 0.919 0.754
Ho 0.919 0.754 0.427
Ho 0.573 0.081 0.246
Sc 0.500 0.500 0.500
Sc 0.000 0.000 0.000

Computed properties:
As for the symmetry: R-3. The formation energy (no corrections) is -174 kJ/mol of atoms.

***

First-principles (PBE) data for a relaxed structure of Ti2Zn4Ni, as listed in Alexandria.

Unit cell a=8.862 b=5.113 c=5.523 alpha=117.57 beta=90.00 gamma=90.00
Fractional positions:
Zn 0.250 0.999 0.500
Zn 0.750 0.749 0.000
Zn 0.250 0.251 0.000
Zn 0.250 0.499 0.500
Zn 0.750 0.501 0.500
Zn 0.750 0.001 0.500
Zn 0.250 0.751 0.000
Zn 0.750 0.249 0.000
Ti 0.500 0.856 0.713
Ti 0.000 0.356 0.713
Ti 0.500 0.144 0.287
Ti 0.000 0.644 0.287
Ni 0.000 0.000 0.000
Ni 0.500 0.500 0.000

Computed properties:
Its formation energy is 0.146 eV per atom. As for the symmetry: Cmce.

***

First-principles (PBE) data for a relaxed structure of MgScIn2, as listed in Alexandria.

Unit cell a=5.110 b=5.110 c=5.110 alpha=60.00 beta=60.00 gamma=60.00
Fractional positions:
In 0.000 0.000 0.000
In 0.250 0.250 0.250
Sc 0.750 0.750 0.750
Mg 0.500 0.500 0.500

Computed properties:
Its formation energy is -0.028 eV per atom. As for the symmetry: F-43m.

***

First-principles (PBE) data for a relaxed structure of Th7Ga2Tc2, as listed in Alexandria.

Unit cell a=6.881 b=6.924 c=6.881 alpha=90.00 beta=106.60 gamma=90.00
Fractional positions:
Th 0.000 0.266 0.500
Th 0.500 0.734 0.000
Th 0.000 0.734 0.500
Th 0.500 0.269 0.500
Th 0.500 0.266 0.000
Th 0.500 0.731 0.500
Th 0.000 0.000 0.000
Tc 0.712 0.000 0.288
Tc 0.288 0.000 0.712
Ga 0.842 0.500 0.842
Ga 0.158 0.500 0.158

Computed properties:
Its formation energy is -0.074 eV per atom. As for the symmetry: Cmmm.

***

First-principles (PBE) data for a relaxed structure of PrSmRu, as listed in Alexandria.

Unit cell a=4.126 b=7.169 c=6.247 alpha=79.39 beta=70.72 gamma=73.28
Fractional positions:
Sm 0.586 0.128 0.699
Sm 0.414 0.872 0.301
Pr 0.811 0.599 0.778
Pr 0.189 0.401 0.222
Ru 0.862 0.138 0.138
Ru 0.138 0.862 0.862

Computed properties:
Its formation energy is -0.155 eV per atom. As for the symmetry: C2/m.

***

First-principles (PBE) data for a relaxed structure of Tl2SbI, as listed in Alexandria.

Unit cell a=4.728 b=4.728 c=8.057 alpha=72.94 beta=72.94 gamma=60.00
Fractional positions:
Tl 0.733 0.733 0.801
Tl 0.267 0.267 0.199
Sb 0.000 0.000 0.000
I 0.500 0.500 0.500

Computed properties:
As for the symmetry: R-3m. The formation energy (no corrections) is -9 kJ/mol of atoms.

***

First-principles (PBE) data for a relaxed structure of TmRe4Se8, as listed in Alexandria.

Unit cell a=7.427 b=7.432 c=7.545 alpha=89.99 beta=119.44 gamma=120.03
Fractional positions:
Se 0.522 0.761 0.772
Se 0.989 0.750 0.228
Se 0.515 0.258 0.773
Se 0.485 0.742 0.227
Se 0.011 0.761 0.772
Se 0.478 0.239 0.228
Se 0.011 0.250 0.772
Se 0.989 0.239 0.228
Re 0.500 0.500 0.000
Re 0.000 0.000 0.000
Re 0.000 0.500 0.000
Re 0.500 0.000 0.000
Tm 0.000 0.500 0.500

Computed properties:
As for the symmetry: C2/m. The formation energy (no corrections) is -13 kJ/mol of atoms.

***

First-principles (PBE) data for a relaxed structure of In2CoOs, as listed in Alexandria.

Unit cell a=4.482 b=4.482 c=3.250 alpha=90.00 beta=90.00 gamma=90.00
Fractional positions:
In 0.500 0.500 0.000
In 0.000 0.000 0.000
Co 0.000 0.500 0.500
Os 0.500 0.000 0.500

Computed properties:
Its formation energy is 0.365 eV per atom. As for the symmetry: P4/mmm.

***

First-principles (PBE) data for a relaxed structure of PmZnSn, as listed in Alexandria.

Unit cell a=4.756 b=4.756 c=4.756 alpha=60.00 beta=60.00 gamma=60.00
Fractional positions:
Pm 0.000 0.000 0.000
Sn 0.500 0.500 0.500
Zn 0.250 0.250 0.250

Computed properties:
Its formation energy is -0.456 eV per atom. As for the symmetry: F-43m.

***

Total magnetic moment (computed, Bohr magnetons per cell): 0.0, 0.0, 0.0, 0.0, 6.3, 0.0, 0.0, 0.0, 0.0, 6.5, 0.3, 0.0
DOS at the Fermi energy (computed, states/eV/atom): 0.5827, 1.7130, 0.2365, 0.0000, 0.8918, 1.1665, 0.9807, 1.1810, 0.5055, 0.5902, 0.9883, 0.5646